Below is a relaxed Li4Cu2Ag crystal, with properties calculated at the PBE level.

abc: 6.5649 6.5649 6.5649
angles: 109.75 108.92 109.75
Last column: nearest neighbours and their distance in Å.
Fractional positions:
Li1 0.1421 0.9128 0.3869  4 Cu 2.54-2.68, 2 Ag 2.63-2.73, 2 Li 2.78
Li2 0.6131 0.7552 0.5259  4 Cu 2.54-2.68, 2 Ag 2.63-2.73, 2 Li 2.78
Li3 0.9793 0.5872 0.7241  4 Cu 2.54-2.68, 2 Ag 2.63-2.73, 2 Li 2.78
Li4 0.2759 0.2552 0.8631  4 Cu 2.54-2.68, 2 Ag 2.63-2.73, 2 Li 2.78
Li5 0.6079 0.7448 0.0207  4 Cu 2.54-2.68, 2 Ag 2.63-2.73, 2 Li 2.78
Li6 0.7707 0.2448 0.8579  4 Cu 2.54-2.68, 2 Ag 2.63-2.73, 2 Li 2.78
Li7 0.4741 0.0872 0.2293  4 Cu 2.54-2.68, 2 Ag 2.63-2.73, 2 Li 2.78
Li8 0.1369 0.4128 0.3921  4 Cu 2.54-2.68, 2 Ag 2.63-2.73, 2 Li 2.78
Cu1 0.8750 0.1124 0.4874  8 Li 2.54-2.68
Cu2 0.5126 0.3876 0.6250  8 Li 2.54-2.68
Cu3 0.3750 0.8876 0.7626  8 Li 2.54-2.68
Cu4 0.2374 0.6124 0.1250  8 Li 2.54-2.68
Ag1 0.0000 0.0000 0.0000  8 Li 2.63-2.73
Ag2 0.7500 0.5000 0.2500  8 Li 2.63-2.73

Output
Magnetic moment ... 0.0 μB per cell
Uncorrected energy ... -36.28 eV/cell